The following is a DFT calculation (GGA-PBE) of a relaxed structure of ZnFe3Pd.

Properties
Energy = -5.251 eV/atom
Distance to the lowest polymorph of the same formula = 0.0000 eV/atom
Energy of formation = 5.60 eV per formula unit

Lattice parameters (Å, degrees): 4.3766 4.3766 4.3766 90.00 90.00 90.00
Closest atoms and distances in Å follow each position.
Space group Pm-3m (No. 221)
Symmetry-distinct sites (fractional):
Zn 0.0000 0.0000 0.0000  6 Fe 2.19
Fe 0.0000 0.0000 0.5000  2 Zn 2.19
Pd 0.5000 0.5000 0.5000  12 Fe 3.09